Density functional theory data (PBE) for a relaxed BaReRu2 crystal.

```
data_BaReRu2
_symmetry_space_group_name_H-M 'I m m 2'
_symmetry_Int_Tables_number 44
_cell_length_a 2.909
_cell_length_b 5.026
_cell_length_c 10.522
_cell_angle_alpha 90.00
_cell_angle_beta 90.00
_cell_angle_gamma 90.00
loop_
_symmetry_equiv_pos_as_xyz
'x,y,z'
'-x,-y,z'
'-x,y,z'
'x,-y,z'
'x+1/2,y+1/2,z+1/2'
'-x+1/2,-y+1/2,z+1/2'
'-x+1/2,y+1/2,z+1/2'
'x+1/2,-y+1/2,z+1/2'
loop_
_atom_site_label
_atom_site_fract_x
_atom_site_fract_y
_atom_site_fract_z
Ba1 0.000 0.000 0.000
Re1 0.000 0.500 0.218
Ru1 0.000 0.000 0.513
Ru2 0.000 0.500 0.787
```

Summary:
ΔE to the lowest computed polymorph = 635 meV/atom
total magnetization = 0.0 μB/f.u.
ΔH_f (0 K) = 1.058 eV per atom